No. 1
SrRe2Ag | GGA-PBEsol | relaxed

Crystal system: monoclinic
Total magnetization, μB/f.u.: 0.0
Fermi-level density of states, states/eV/atom: 0.738
Offset from the most stable computed form, meV/atom: 0

```
4
Lattice="-0.7875 2.4557 0.8123 -3.3444 -2.8556 2.7612 5.4534 -0.0018 2.1074" Properties=species:S:1:pos:R:3 pbc="T T T"
Re 0.6607 -0.2009 2.8404
Re 2.7267 -0.0009 1.0537
Sr -1.6722 -1.4278 1.3806
Ag -0.3938 1.2279 0.4061
```


No. 2
Ta2ReAg | GGA-PBEsol | relaxed

Crystal system: tetragonal
Total magnetization, μB/f.u.: 0.0
Fermi-level density of states, states/eV/atom: 0.640
Offset from the most stable computed form, meV/atom: 6

```
4
Lattice="4.2231 0.0000 0.0000 -2.1116 4.2399 0.0241 0.0000 -2.1272 3.6520" Properties=species:S:1:pos:R:3 pbc="T T T"
Ag 2.1116 0.0000 0.0000
Ta 0.0000 1.5888 0.9255
Ta 2.1116 0.5238 2.7506
Re 0.0000 -1.0636 1.8260
```


No. 3
Ta2ReAg | GGA-PBEsol | relaxed

Crystal system: orthorhombic
Total magnetization, μB/f.u.: 0.0
Fermi-level density of states, states/eV/atom: 0.681
Offset from the most stable computed form, meV/atom: 41

```
4
Lattice="2.7479 0.0200 0.0000 -0.8932 2.5988 0.0000 0.0000 0.0000 9.2208" Properties=species:S:1:pos:R:3 pbc="T T T"
Ta 0.0000 0.0000 0.0892
Ta 0.9274 1.3094 6.9342
Ag 0.0000 0.0000 4.5712
Re 0.9274 1.3094 2.2367
```


No. 4
Ta2ReAg | GGA-PBEsol | relaxed

Crystal system: orthorhombic
Total magnetization, μB/f.u.: 0.0
Fermi-level density of states, states/eV/atom: 0.808
Offset from the most stable computed form, meV/atom: 184

```
4
Lattice="-0.3521 -1.5981 2.1220 4.3227 -0.2606 0.5211 -0.1360 4.5461 3.4012" Properties=species:S:1:pos:R:3 pbc="T T T"
Ta -0.1339 4.4743 3.3476
Re 1.8818 2.5310 3.9104
Ta 1.9502 0.2435 2.1990
Ag -0.0675 2.2577 1.6891
```